*1*
# PrCdCu

An optimized crystal structure of PrCdCu (PBE-GGA, OQMD via LeMat-Bulk).

a = 8.1856 Å, b = 8.1856 Å, c = 3.4717 Å
α = 90.00°, β = 90.00°, γ = 120.00°
Element x y z (fractional)
Cu1 0.6371 0.0000 0.5000
Cd1 0.6667 0.3333 0.0000
Cd2 0.3333 0.6667 0.0000
Cu2 0.3629 0.3629 0.5000
Pr1 0.0000 0.2971 0.0000
Cu3 0.0000 0.6371 0.5000
Pr2 0.2971 0.0000 0.0000
Pr3 0.7029 0.7029 0.0000
Cd3 0.0000 0.0000 0.5000

Properties
The volume is 201.5 Å³/cell.

---

*2*
# PrCdCu

An optimized crystal structure of PrCdCu (PBE-GGA, OQMD via LeMat-Bulk).

a = 5.0734 Å, b = 5.0734 Å, c = 6.3462 Å
α = 90.00°, β = 90.00°, γ = 120.00°
Element x y z (fractional)
Cu1 0.0000 0.0000 0.0000
Cd1 0.3333 0.6667 0.2500
Cu2 0.0000 0.0000 0.5000
Cd2 0.6667 0.3333 0.7500
Pr1 0.6667 0.3333 0.2500
Pr2 0.3333 0.6667 0.7500

Properties
The volume is 141.5 Å³/cell.

---

Which structure is the least stable? The one labeled *1*.

---

*1*
# TaCdCuPt

An optimized crystal structure of TaCdCuPt (PBE-GGA, OQMD via LeMat-Bulk).

a = 4.4925 Å, b = 4.4925 Å, c = 4.4925 Å
α = 60.00°, β = 60.00°, γ = 60.00°
Element x y z (fractional)
Ta1 0.0000 0.0000 0.0000
Cd1 0.2500 0.2500 0.2500
Cu1 0.7500 0.7500 0.7500
Pt1 0.5000 0.5000 0.5000

Properties
The volume is 64.1 Å³/cell.

---

*2*
# TaCdCuPt

An optimized crystal structure of TaCdCuPt (PBE-GGA, OQMD via LeMat-Bulk).

a = 4.5140 Å, b = 4.5140 Å, c = 4.5140 Å
α = 60.00°, β = 60.00°, γ = 60.00°
Element x y z (fractional)
Cd1 0.0000 0.0000 0.0000
Pt1 0.5000 0.5000 0.5000
Cu1 0.7500 0.7500 0.7500
Ta1 0.2500 0.2500 0.2500

Properties
The volume is 65.0 Å³/cell.

---

Which structure is the least stable? The one labeled *1*.

---

*1*
# CdCu2SiTe2S2

An optimized crystal structure of CdCu2SiTe2S2 (PBE-GGA, OQMD via LeMat-Bulk).

a = 6.9585 Å, b = 6.9248 Å, c = 5.8095 Å
α = 65.56°, β = 64.96°, γ = 49.47°
Element x y z (fractional)
S1 0.4192 0.8501 0.5808
Cu1 0.7276 0.7276 0.7724
Cd1 0.0186 0.0186 0.9814
Te1 0.1394 0.6001 0.3999
S2 0.8501 0.4192 0.1499
Cu2 0.2276 0.2276 0.2724
Te2 0.6001 0.1394 0.8606
Si1 0.5174 0.5174 0.4826

Properties
The volume is 188.8 Å³/cell.

---

*2*
# CdCu2SiTe2S2

An optimized crystal structure of CdCu2SiTe2S2 (PBE-GGA, OQMD via LeMat-Bulk).

a = 6.8355 Å, b = 6.8355 Å, c = 5.8017 Å
α = 113.25°, β = 113.25°, γ = 50.17°
Element x y z (fractional)
Cu1 0.7561 0.7419 0.3004
Cu2 0.2581 0.2439 0.6996
Te1 0.8608 0.4167 0.8639
S1 0.1455 0.6018 0.5944
Si1 0.4669 0.5331 0.5000
Te2 0.5833 0.1392 0.1361
Cd1 0.0311 0.9689 0.0000
S2 0.3982 0.8545 0.4056

Properties
The volume is 187.4 Å³/cell.

---

Which structure is the least stable? The one labeled *1*.

---

*1*
# TaCdCuSb

An optimized crystal structure of TaCdCuSb (PBE-GGA, OQMD via LeMat-Bulk).

a = 4.7496 Å, b = 4.7496 Å, c = 4.7496 Å
α = 60.00°, β = 60.00°, γ = 60.00°
Element x y z (fractional)
Cu1 0.7500 0.7500 0.7500
Cd1 0.5000 0.5000 0.5000
Sb1 0.0000 0.0000 0.0000
Ta1 0.2500 0.2500 0.2500

Properties
The volume is 75.8 Å³/cell.

---

*2*
# TaCdCuSb

An optimized crystal structure of TaCdCuSb (PBE-GGA, OQMD via LeMat-Bulk).

a = 4.8031 Å, b = 4.8031 Å, c = 4.8031 Å
α = 60.00°, β = 60.00°, γ = 60.00°
Element x y z (fractional)
Cu1 0.7500 0.7500 0.7500
Ta1 0.5000 0.5000 0.5000
Cd1 0.2500 0.2500 0.2500
Sb1 0.0000 0.0000 0.0000

Properties
The volume is 78.4 Å³/cell.

---

Which structure is the least stable? The one labeled *2*.

---

*1*
# ZrCdCuSb

An optimized crystal structure of ZrCdCuSb (PBE-GGA, OQMD via LeMat-Bulk).

a = 4.9080 Å, b = 4.9080 Å, c = 4.9080 Å
α = 60.00°, β = 60.00°, γ = 60.00°
Element x y z (fractional)
Zr1 0.5000 0.5000 0.5000
Sb1 0.0000 0.0000 0.0000
Cu1 0.7500 0.7500 0.7500
Cd1 0.2500 0.2500 0.2500

Properties
The volume is 83.6 Å³/cell.

---

*2*
# ZrCdCuSb

An optimized crystal structure of ZrCdCuSb (PBE-GGA, OQMD via LeMat-Bulk).

a = 4.8697 Å, b = 4.8697 Å, c = 4.8697 Å
α = 60.00°, β = 60.00°, γ = 60.00°
Element x y z (fractional)
Zr1 0.2500 0.2500 0.2500
Cu1 0.7500 0.7500 0.7500
Sb1 0.0000 0.0000 0.0000
Cd1 0.5000 0.5000 0.5000

Properties
The volume is 81.7 Å³/cell.

---

Which structure is the least stable? The one labeled *1*.

---

*1*
# ScCdCuSn

An optimized crystal structure of ScCdCuSn (PBE-GGA, OQMD via LeMat-Bulk).

a = 4.8148 Å, b = 4.8148 Å, c = 4.8148 Å
α = 60.00°, β = 60.00°, γ = 60.00°
Element x y z (fractional)
Cu1 0.7500 0.7500 0.7500
Sc1 0.5000 0.5000 0.5000
Sn1 0.0000 0.0000 0.0000
Cd1 0.2500 0.2500 0.2500

Properties
The volume is 78.9 Å³/cell.

---

*2*
# ScCdCuSn

An optimized crystal structure of ScCdCuSn (PBE-GGA, OQMD via LeMat-Bulk).

a = 4.8031 Å, b = 4.8031 Å, c = 4.8031 Å
α = 60.00°, β = 60.00°, γ = 60.00°
Element x y z (fractional)
Cu1 0.7500 0.7500 0.7500
Sc1 0.2500 0.2500 0.2500
Cd1 0.5000 0.5000 0.5000
Sn1 0.0000 0.0000 0.0000

Properties
The volume is 78.3 Å³/cell.

---

Which structure is the least stable? The one labeled *1*.

---

*1*
# ScCdCuTe3

An optimized crystal structure of ScCdCuTe3 (PBE-GGA, OQMD via LeMat-Bulk).

a = 8.0834 Å, b = 4.0736 Å, c = 9.7471 Å
α = 90.00°, β = 103.07°, γ = 90.00°
Element x y z (fractional)
Sc1 0.1862 0.2500 0.6754
Cd1 0.2830 0.7500 0.2189
Cu1 0.5759 0.2500 0.0809
Sc2 0.8138 0.7500 0.3246
Te1 0.7670 0.7500 0.0226
Cd2 0.7170 0.2500 0.7811
Te2 0.4306 0.7500 0.6489
Te3 0.0876 0.2500 0.3594
Te4 0.9124 0.7500 0.6406
Te5 0.5694 0.2500 0.3511
Cu2 0.4241 0.7500 0.9191
Te6 0.2330 0.2500 0.9774

Properties
The volume is 312.6 Å³/cell.

---

*2*
# ScCdCuTe3

An optimized crystal structure of ScCdCuTe3 (PBE-GGA, OQMD via LeMat-Bulk).

a = 7.3642 Å, b = 7.3642 Å, c = 10.7851 Å
α = 90.00°, β = 90.00°, γ = 148.48°
Element x y z (fractional)
Te1 0.0945 0.9055 0.7500
Te2 0.6422 0.3578 0.0615
Te3 0.3578 0.6422 0.5615
Cu1 0.5277 0.4723 0.2500
Te4 0.6422 0.3578 0.4385
Sc1 0.0000 0.0000 0.5000
Sc2 0.0000 0.0000 0.0000
Te5 0.9055 0.0945 0.2500
Cd1 0.2335 0.7665 0.2500
Te6 0.3578 0.6422 0.9385
Cd2 0.7665 0.2335 0.7500
Cu2 0.4723 0.5277 0.7500

Properties
The volume is 305.7 Å³/cell.

---

Which structure is the least stable? The one labeled *2*.

---

*1*
# YCdCuSi

An optimized crystal structure of YCdCuSi (PBE-GGA, OQMD via LeMat-Bulk).

a = 4.7588 Å, b = 4.7588 Å, c = 4.7588 Å
α = 60.00°, β = 60.00°, γ = 60.00°
Element x y z (fractional)
Cd1 0.5000 0.5000 0.5000
Cu1 0.7500 0.7500 0.7500
Y1 0.2500 0.2500 0.2500
Si1 0.0000 0.0000 0.0000

Properties
The volume is 76.2 Å³/cell.

---

*2*
# YCdCuSi

An optimized crystal structure of YCdCuSi (PBE-GGA, OQMD via LeMat-Bulk).

a = 4.7626 Å, b = 4.7626 Å, c = 4.7626 Å
α = 60.00°, β = 60.00°, γ = 60.00°
Element x y z (fractional)
Y1 0.5000 0.5000 0.5000
Cu1 0.7500 0.7500 0.7500
Si1 0.0000 0.0000 0.0000
Cd1 0.2500 0.2500 0.2500

Properties
The volume is 76.4 Å³/cell.

---

Which structure is the least stable? The one labeled *2*.

---

*1*
# ZrCdCuSi

An optimized crystal structure of ZrCdCuSi (PBE-GGA, OQMD via LeMat-Bulk).

a = 4.6404 Å, b = 4.6404 Å, c = 4.6404 Å
α = 60.00°, β = 60.00°, γ = 60.00°
Element x y z (fractional)
Cd1 0.2500 0.2500 0.2500
Zr1 0.5000 0.5000 0.5000
Si1 0.0000 0.0000 0.0000
Cu1 0.7500 0.7500 0.7500

Properties
The volume is 70.7 Å³/cell.

---

*2*
# ZrCdCuSi

An optimized crystal structure of ZrCdCuSi (PBE-GGA, OQMD via LeMat-Bulk).

a = 4.6189 Å, b = 4.6189 Å, c = 4.6189 Å
α = 60.00°, β = 60.00°, γ = 60.00°
Element x y z (fractional)
Cd1 0.5000 0.5000 0.5000
Cu1 0.7500 0.7500 0.7500
Si1 0.0000 0.0000 0.0000
Zr1 0.2500 0.2500 0.2500

Properties
The volume is 69.7 Å³/cell.

---

Which structure is the least stable? The one labeled *1*.

---

*1*
# ZrCdCuSn

An optimized crystal structure of ZrCdCuSn (PBE-GGA, OQMD via LeMat-Bulk).

a = 4.8346 Å, b = 4.8346 Å, c = 4.8346 Å
α = 60.00°, β = 60.00°, γ = 60.00°
Element x y z (fractional)
Sn1 0.0000 0.0000 0.0000
Zr1 0.5000 0.5000 0.5000
Cu1 0.7500 0.7500 0.7500
Cd1 0.2500 0.2500 0.2500

Properties
The volume is 79.9 Å³/cell.

---

*2*
# ZrCdCuSn

An optimized crystal structure of ZrCdCuSn (PBE-GGA, OQMD via LeMat-Bulk).

a = 4.8321 Å, b = 4.8321 Å, c = 4.8321 Å
α = 60.00°, β = 60.00°, γ = 60.00°
Element x y z (fractional)
Zr1 0.2500 0.2500 0.2500
Cd1 0.5000 0.5000 0.5000
Sn1 0.0000 0.0000 0.0000
Cu1 0.7500 0.7500 0.7500

Properties
The volume is 79.8 Å³/cell.

---

Which structure is the least stable? The one labeled *1*.

---

*1*
# TmCdCuTe3

An optimized crystal structure of TmCdCuTe3 (PBE-GGA, OQMD via LeMat-Bulk).

a = 8.2929 Å, b = 4.1476 Å, c = 9.9195 Å
α = 90.00°, β = 102.42°, γ = 90.00°
Element x y z (fractional)
Cd1 0.7908 0.7500 0.2166
Te1 0.7426 0.2500 0.9826
Te2 0.9374 0.7500 0.6548
Te3 0.5940 0.2500 0.3527
Tm1 0.3176 0.7500 0.3265
Cu1 0.0749 0.2500 0.0778
Te4 0.0626 0.2500 0.3452
Te5 0.2574 0.7500 0.0174
Te6 0.4060 0.7500 0.6473
Cu2 0.9251 0.7500 0.9222
Tm2 0.6824 0.2500 0.6735
Cd2 0.2092 0.2500 0.7834

Properties
The volume is 333.2 Å³/cell.

---

*2*
# TmCdCuTe3

An optimized crystal structure of TmCdCuTe3 (PBE-GGA, OQMD via LeMat-Bulk).

a = 7.3552 Å, b = 7.3552 Å, c = 11.1570 Å
α = 90.00°, β = 90.00°, γ = 147.57°
Element x y z (fractional)
Te1 0.4036 0.5965 0.2500
Te2 0.1466 0.8534 0.4301
Te3 0.5965 0.4036 0.7500
Cd1 0.7301 0.2699 0.2500
Cu1 0.9744 0.0256 0.7500
Te4 0.1466 0.8534 0.0699
Cd2 0.2699 0.7301 0.7500
Te5 0.8534 0.1466 0.9301
Tm1 0.5000 0.5000 0.0000
Cu2 0.0256 0.9744 0.2500
Te6 0.8534 0.1466 0.5699
Tm2 0.5000 0.5000 0.5000

Properties
The volume is 323.7 Å³/cell.

---

Which structure is the least stable? The one labeled *2*.

---

*1*
# ZrTlCdCu

An optimized crystal structure of ZrTlCdCu (PBE-GGA, OQMD via LeMat-Bulk).

a = 4.8341 Å, b = 4.8341 Å, c = 4.8341 Å
α = 60.00°, β = 60.00°, γ = 60.00°
Element x y z (fractional)
Tl1 0.0000 0.0000 0.0000
Cd1 0.2500 0.2500 0.2500
Cu1 0.7500 0.7500 0.7500
Zr1 0.5000 0.5000 0.5000

Properties
The volume is 79.9 Å³/cell.

---

*2*
# ZrTlCdCu

An optimized crystal structure of ZrTlCdCu (PBE-GGA, OQMD via LeMat-Bulk).

a = 4.8379 Å, b = 4.8379 Å, c = 4.8379 Å
α = 60.00°, β = 60.00°, γ = 60.00°
Element x y z (fractional)
Zr1 0.2500 0.2500 0.2500
Tl1 0.0000 0.0000 0.0000
Cd1 0.5000 0.5000 0.5000
Cu1 0.7500 0.7500 0.7500

Properties
The volume is 80.1 Å³/cell.

---

Which structure is the least stable? The one labeled *1*.

---

*1*
# DyHoCd6

An optimized crystal structure of DyHoCd6 (PBE-GGA, OQMD via LeMat-Bulk).

a = 6.5729 Å, b = 6.5729 Å, c = 4.9706 Å
α = 90.00°, β = 90.00°, γ = 120.00°
Element x y z (fractional)
Cd1 0.5037 0.4963 0.0000
Cd2 0.5037 0.0074 0.0000
Ho1 0.3333 0.6667 0.5000
Cd3 0.8292 0.6583 0.5000
Dy1 0.0000 0.0000 0.0000
Cd4 0.9926 0.4963 0.0000
Cd5 0.8292 0.1708 0.5000
Cd6 0.3417 0.1708 0.5000

Properties
The volume is 186.0 Å³/cell.

---

*2*
# DyHoCd6

An optimized crystal structure of DyHoCd6 (PBE-GGA, OQMD via LeMat-Bulk).

a = 5.0572 Å, b = 7.1187 Å, c = 5.0580 Å
α = 90.00°, β = 90.00°, γ = 90.00°
Element x y z (fractional)
Cd1 0.5000 0.0000 0.2541
Cd2 0.0000 0.5000 0.7458
Cd3 0.5000 0.2504 0.7550
Cd4 0.5000 0.7496 0.7550
Cd5 0.0000 0.7497 0.2450
Dy1 0.0000 0.0000 0.7455
Cd6 0.0000 0.2503 0.2450
Ho1 0.5000 0.5000 0.2546

Properties
The volume is 182.1 Å³/cell.

---

Which structure is the least stable? The one labeled *2*.